Entry 1:
# ThAuSe3, relaxed, DFT PBE
data_ThAuSe3
_cell_length_a 15.678
_cell_length_b 3.886
_cell_length_c 8.622
_cell_angle_alpha 90.00
_cell_angle_beta 104.00
_cell_angle_gamma 90.00
_symmetry_space_group_name_H-M 'C 1 2/m 1'
_symmetry_Int_Tables_number 12
loop_
_symmetry_equiv_pos_as_xyz
'x,y,z'
'-x,-y,-z'
'-x,y,-z'
'x,-y,z'
'x+1/2,y+1/2,z'
'-x+1/2,-y+1/2,-z'
'-x+1/2,y+1/2,-z'
'x+1/2,-y+1/2,z'
loop_
_atom_site_label
_atom_site_fract_x
_atom_site_fract_y
_atom_site_fract_z
_atom_site_occupancy
Th1 0.115 0.000 0.092 1
Au1 0.184 0.500 0.614 1
Se1 0.023 0.500 0.829 1
Se2 0.113 0.000 0.439 1
Se3 0.231 0.000 0.833 1
# Formation energy from raw total energies = -854 meV per atom
# Total moment = 0.000 μB/cell
# DOS(E_F) = 8.73 states/eV per cell

---

Entry 2:
# Th8AuSe6, relaxed, DFT PBE
data_Th8AuSe6
_cell_length_a 10.6478
_cell_length_b 10.6478
_cell_length_c 4.2572
_cell_angle_alpha 90.00
_cell_angle_beta 90.00
_cell_angle_gamma 120.00
_symmetry_space_group_name_H-M 'P -3'
_symmetry_Int_Tables_number 147
loop_
_symmetry_equiv_pos_as_xyz
'x,y,z'
'-x,-y,-z'
'-y,x-y,z'
'y,-x+y,-z'
'-x+y,-x,z'
'x-y,x,-z'
loop_
_atom_site_label
_atom_site_fract_x
_atom_site_fract_y
_atom_site_fract_z
_atom_site_occupancy
Th1 0.0341 0.3056 0.2483 1
Th2 0.3333 0.6667 0.7516 1
Au1 0.0000 0.0000 0.0000 1
Se1 0.1236 0.6343 0.2509 1
# Formation energy from raw total energies = -1045 meV per atom
# Total moment = 0.000 μB/cell
# DOS(E_F) = 12.80 states/eV per cell

---

Entry 3:
# Th5AuSe4, relaxed, DFT PBE
data_Th5AuSe4
_cell_length_a 9.508
_cell_length_b 9.508
_cell_length_c 5.972
_cell_angle_alpha 90.00
_cell_angle_beta 90.00
_cell_angle_gamma 90.00
_symmetry_space_group_name_H-M 'I 4/m'
_symmetry_Int_Tables_number 87
_symmetry_space_group_name_Hall '-I 4'
loop_
_atom_site_label
_atom_site_fract_x
_atom_site_fract_y
_atom_site_fract_z
_atom_site_occupancy
Th1 0.000 0.000 0.000 1
Th2 0.101 0.698 0.500 1
Au1 0.000 0.000 0.500 1
Se1 0.102 0.700 0.000 1
# Formation energy from raw total energies = -1358 meV per atom
# Total moment = 0.000 μB/cell
# DOS(E_F) = 18.41 states/eV per cell

---

Entry 4:
# Th3AuSe, relaxed, DFT PBE
data_Th3AuSe
_cell_length_a 8.300
_cell_length_b 4.162
_cell_length_c 16.555
_cell_angle_alpha 90.00
_cell_angle_beta 90.00
_cell_angle_gamma 90.00
_symmetry_space_group_name_H-M 'P n m a'
_symmetry_Int_Tables_number 62
loop_
_symmetry_equiv_pos_as_xyz
'x,y,z'
'-x,-y,-z'
'-x+1/2,-y,z+1/2'
'x+1/2,y,-z+1/2'
'x+1/2,-y+1/2,-z+1/2'
'-x+1/2,y+1/2,z+1/2'
'-x,y+1/2,-z'
'x,-y+1/2,z'
loop_
_atom_site_label
_atom_site_fract_x
_atom_site_fract_y
_atom_site_fract_z
_atom_site_occupancy
Th1 0.018 0.250 0.099 1
Th2 0.131 0.250 0.557 1
Th3 0.182 0.750 0.270 1
Au1 0.088 0.750 0.702 1
Se1 0.230 0.250 0.946 1
# Formation energy from raw total energies = -745 meV per atom
# Total moment = 0.000 μB/cell
# DOS(E_F) = 20.99 states/eV per cell

---

Entry 5:
# Th3Au2Se, relaxed, DFT PBE
data_Th3Au2Se
_cell_length_a 7.833
_cell_length_b 11.929
_cell_length_c 7.348
_cell_angle_alpha 90.00
_cell_angle_beta 104.28
_cell_angle_gamma 90.00
_symmetry_space_group_name_H-M 'C 1 2/c 1'
_symmetry_Int_Tables_number 15
loop_
_symmetry_equiv_pos_as_xyz
'x,y,z'
'-x,-y,-z'
'-x,y,-z+1/2'
'x,-y,z+1/2'
'x+1/2,y+1/2,z'
'-x+1/2,-y+1/2,-z'
'-x+1/2,y+1/2,-z+1/2'
'x+1/2,-y+1/2,z+1/2'
loop_
_atom_site_label
_atom_site_fract_x
_atom_site_fract_y
_atom_site_fract_z
_atom_site_occupancy
Th1 0.222 0.088 0.467 1
Th2 0.250 0.250 0.000 1
Au1 0.000 0.282 0.250 1
Au2 0.000 0.445 0.750 1
Se1 0.000 0.093 0.750 1
# Formation energy from raw total energies = -843 meV per atom
# Total moment = 0.000 μB/cell
# DOS(E_F) = 21.99 states/eV per cell

---

Entry 6:
# Th3AuSe2, relaxed, DFT PBE
data_Th3AuSe2
_cell_length_a 8.526
_cell_length_b 6.000
_cell_length_c 12.803
_cell_angle_alpha 90.00
_cell_angle_beta 90.00
_cell_angle_gamma 90.00
_symmetry_space_group_name_H-M 'P n m a'
_symmetry_Int_Tables_number 62
loop_
_symmetry_equiv_pos_as_xyz
'x,y,z'
'-x,-y,-z'
'-x+1/2,-y,z+1/2'
'x+1/2,y,-z+1/2'
'x+1/2,-y+1/2,-z+1/2'
'-x+1/2,y+1/2,z+1/2'
'-x,y+1/2,-z'
'x,-y+1/2,z'
loop_
_atom_site_label
_atom_site_fract_x
_atom_site_fract_y
_atom_site_fract_z
_atom_site_occupancy
Th1 0.120 0.250 0.085 1
Th2 0.121 0.250 0.419 1
Th3 0.124 0.250 0.749 1
Au1 0.132 0.750 0.415 1
Se1 0.125 0.750 0.084 1
Se2 0.129 0.750 0.749 1
# Formation energy from raw total energies = -1253 meV per atom
# Total moment = 0.000 μB/cell
# DOS(E_F) = 15.58 states/eV per cell

---

Entry 7:
# ThTl2Au2Se4, relaxed, DFT PBE
data_ThTl2Au2Se4
_cell_length_a 15.273
_cell_length_b 4.279
_cell_length_c 8.170
_cell_angle_alpha 90.00
_cell_angle_beta 110.00
_cell_angle_gamma 90.00
_symmetry_space_group_name_H-M 'C 1 2/m 1'
_symmetry_Int_Tables_number 12
loop_
_symmetry_equiv_pos_as_xyz
'x,y,z'
'-x,-y,-z'
'-x,y,-z'
'x,-y,z'
'x+1/2,y+1/2,z'
'-x+1/2,-y+1/2,-z'
'-x+1/2,y+1/2,-z'
'x+1/2,-y+1/2,z'
loop_
_atom_site_label
_atom_site_fract_x
_atom_site_fract_y
_atom_site_fract_z
_atom_site_occupancy
Th1 0.000 0.000 0.000 1
Tl1 0.137 0.000 0.589 1
Au1 0.177 0.500 0.999 1
Se1 0.012 0.500 0.757 1
Se2 0.200 0.000 0.211 1
# Formation energy from raw total energies = -726 meV per atom
# Total moment = 0.000 μB/cell

---

Entry 8:
# ThTlAuSe3, relaxed, DFT PBE
data_ThTlAuSe3
_cell_length_a 9.093
_cell_length_b 4.295
_cell_length_c 9.682
_cell_angle_alpha 90.00
_cell_angle_beta 107.04
_cell_angle_gamma 90.00
_symmetry_space_group_name_H-M 'P 1 21/m 1'
_symmetry_Int_Tables_number 11
loop_
_symmetry_equiv_pos_as_xyz
'x,y,z'
'-x,-y,-z'
'-x,y+1/2,-z'
'x,-y+1/2,z'
loop_
_atom_site_label
_atom_site_fract_x
_atom_site_fract_y
_atom_site_fract_z
_atom_site_occupancy
Th1 0.184 0.250 0.170 1
Tl1 0.303 0.750 0.757 1
Au1 0.399 0.750 0.409 1
Se1 0.046 0.250 0.849 1
Se2 0.260 0.250 0.481 1
Se3 0.388 0.750 0.131 1
# Formation energy from raw total energies = -993 meV per atom
# Total moment = 0.000 μB/cell